Record 1
A plane-wave DFT calculation with PBE was carried out for InCuRh2 after structural relaxation.

```
data_InCuRh2
_cell_length_a 4.6481
_cell_length_b 4.6481
_cell_length_c 4.8709
_cell_angle_alpha 78.68
_cell_angle_beta 78.68
_cell_angle_gamma 36.53
_space_group_name_H-M_alt 'P 1'
_space_group_IT_number 1
loop_
_space_group_symop_operation_xyz
'x,y,z'
loop_
_atom_site_label
_atom_site_type_symbol
_atom_site_fract_x
_atom_site_fract_y
_atom_site_fract_z
In1 In 0.2500 0.2500 0.2500
Rh1 Rh 0.0027 0.0027 0.9823
Rh2 Rh 0.4973 0.4973 0.5177
Cu1 Cu 0.7500 0.7500 0.7500
```

Properties
The value obtained for the density of states at the Fermi level is 2.4 states/eV/f.u. As for the symmetry: C2/m (12). The volume comes out at 15.3 A^3/atom. As for the magnetic moment: 0.0 μB/f.u. The calculation puts the energy of formation at -0.393 eV per formula unit.

---

Record 2
A plane-wave DFT calculation with PBE was carried out for TbSbPd after structural relaxation.

```
data_TbSbPd
_cell_length_a 4.0415
_cell_length_b 4.0415
_cell_length_c 5.2255
_cell_angle_alpha 112.75
_cell_angle_beta 112.75
_cell_angle_gamma 90.00
_space_group_name_H-M_alt 'P 1'
_space_group_IT_number 1
loop_
_space_group_symop_operation_xyz
'x,y,z'
loop_
_atom_site_label
_atom_site_type_symbol
_atom_site_fract_x
_atom_site_fract_y
_atom_site_fract_z
Pd1 Pd 0.6275 0.6275 0.2550
Tb1 Tb 0.2808 0.2808 0.5617
Sb1 Sb 0.9417 0.9417 0.8833
```

Properties
The value obtained for the density of states at the Fermi level is 1.4 states/eV/f.u. As for the symmetry: I4mm (107). The volume comes out at 23.8 A^3/atom. As for the magnetic moment: 0.0 μB/f.u. As for the formation energy from raw total energies: -0.68 eV/atom.

---

Record 3
A plane-wave DFT calculation with PBE was carried out for Sm2H12PdRh3 after structural relaxation.

```
data_Sm2H12PdRh3
_cell_length_a 6.0768
_cell_length_b 6.0768
_cell_length_c 6.0768
_cell_angle_alpha 60.49
_cell_angle_beta 60.49
_cell_angle_gamma 60.49
_space_group_name_H-M_alt 'P 1'
_space_group_IT_number 1
loop_
_space_group_symop_operation_xyz
'x,y,z'
loop_
_atom_site_label
_atom_site_type_symbol
_atom_site_fract_x
_atom_site_fract_y
_atom_site_fract_z
Rh1 Rh 0.0000 0.5000 0.0000
Rh2 Rh 0.0000 0.0000 0.5000
Rh3 Rh 0.5000 0.0000 0.0000
H1 H 0.6647 0.6647 0.1403
H2 H 0.8597 0.3353 0.3353
H3 H 0.8920 0.3692 0.8920
H4 H 0.1403 0.6647 0.6647
H5 H 0.3353 0.3353 0.8597
H6 H 0.8920 0.8920 0.3692
H7 H 0.6647 0.1403 0.6647
H8 H 0.1080 0.6308 0.1080
H9 H 0.3692 0.8920 0.8920
H10 H 0.1080 0.1080 0.6308
H11 H 0.3353 0.8597 0.3353
H12 H 0.6308 0.1080 0.1080
Sm1 Sm 0.6187 0.6187 0.6187
Sm2 Sm 0.3813 0.3813 0.3813
Pd1 Pd 0.0000 0.0000 0.0000
```

Properties
The value obtained for the density of states at the Fermi level is 6.4 states/eV/f.u. As for the symmetry: R-3m (166). The volume comes out at 8.9 A^3/atom. As for the magnetic moment: 0.0 μB/f.u. Its total energy is -4.533 eV/atom.

---

Record 4
A plane-wave DFT calculation with PBE was carried out for CeDy2Au3 after structural relaxation.

```
data_CeDy2Au3
_cell_length_a 3.5942
_cell_length_b 3.5942
_cell_length_c 11.1204
_cell_angle_alpha 90.00
_cell_angle_beta 90.00
_cell_angle_gamma 90.00
_space_group_name_H-M_alt 'P 1'
_space_group_IT_number 1
loop_
_space_group_symop_operation_xyz
'x,y,z'
loop_
_atom_site_label
_atom_site_type_symbol
_atom_site_fract_x
_atom_site_fract_y
_atom_site_fract_z
Dy1 Dy 0.5000 0.5000 0.1628
Dy2 Dy 0.5000 0.5000 0.8372
Au1 Au 0.0000 0.0000 0.6818
Au2 Au 0.0000 0.0000 0.0000
Au3 Au 0.0000 0.0000 0.3182
Ce1 Ce 0.5000 0.5000 0.5000
```

Properties
The value obtained for the density of states at the Fermi level is 8.6 states/eV/f.u. As for the symmetry: P4/mmm (123). The volume comes out at 23.9 A^3/atom. As for the magnetic moment: 1.2 μB/f.u. The calculation puts the energy of formation at -4.644 eV per formula unit.